(1)
{
  "formula": "CdIn2GeO6",
  "functional": "PBE",
  "state": "optimized geometry",
  "lattice": [[2.7321, 1.5774, 4.8474], [-2.7321, 1.5774, 4.8474], [0.0000, -3.1547, 4.8474]],
  "species": ["Cd", "In", "In", "Ge", "O", "O", "O", "O", "O", "O"],
  "fractional_positions": [[0.0000, 0.0000, 0.0000], [0.2683, 0.2683, 0.2683], [0.7803, 0.7803, 0.7803], [0.4766, 0.4766, 0.4766], [0.1063, 0.6529, 0.4021], [0.2223, 0.5655, 0.8370], [0.4021, 0.1063, 0.6529], [0.5655, 0.8370, 0.2223], [0.6529, 0.4021, 0.1063], [0.8370, 0.2223, 0.5655]],
  "rho_kg_m3": 6766,
  "volume_a3_per_fu": 125.3,
  "spacegroup": "R3",
  "raw_formation_energy_ev_per_atom": -1.4635,
  "total_magnetization_mub_per_fu": 0.00
}

(2)
{
  "formula": "CdInGeO4",
  "functional": "PBE",
  "state": "optimized geometry",
  "lattice": [[-3.1917, 3.2558, 4.5557], [3.1917, -3.2558, 4.5557], [3.1917, 3.2558, -4.5557]],
  "species": ["Cd", "Cd", "In", "In", "Ge", "Ge", "O", "O", "O", "O", "O", "O", "O", "O"],
  "fractional_positions": [[0.5000, 0.0000, 0.0000], [0.5000, 0.5000, 0.5000], [0.0000, 0.0000, 0.0000], [0.5000, 0.0000, 0.5000], [0.1189, 0.3689, 0.7500], [0.8811, 0.6311, 0.2500], [0.2286, 0.7487, 0.4799], [0.2312, 0.2513, 0.9799], [0.2370, 0.2458, 0.5089], [0.2370, 0.7281, 0.9911], [0.7630, 0.2719, 0.0089], [0.7630, 0.7542, 0.4911], [0.7688, 0.7487, 0.0201], [0.7714, 0.2513, 0.5201]],
  "rho_kg_m3": 6382,
  "volume_a3_per_fu": 94.7,
  "spacegroup": "Imma",
  "raw_formation_energy_ev_per_atom": -1.2754,
  "total_magnetization_mub_per_fu": 0.00
}

(3)
{
  "formula": "Cd2InGe2Pd5",
  "functional": "PBE",
  "state": "optimized geometry",
  "lattice": [[10.0693, 0.0000, 0.0000], [0.0000, 10.0693, 0.0000], [0.0000, 0.0000, 3.4829]],
  "species": ["Cd", "Cd", "Cd", "Cd", "In", "In", "Ge", "Ge", "Ge", "Ge", "Pd", "Pd", "Pd", "Pd", "Pd", "Pd", "Pd", "Pd", "Pd", "Pd"],
  "fractional_positions": [[0.1761, 0.3239, 0.0000], [0.3239, 0.8239, 0.0000], [0.6761, 0.1761, 0.0000], [0.8239, 0.6761, 0.0000], [0.0000, 0.0000, 0.0000], [0.5000, 0.5000, 0.0000], [0.1316, 0.6316, 0.0000], [0.3684, 0.1316, 0.0000], [0.6316, 0.8684, 0.0000], [0.8684, 0.3684, 0.0000], [0.0000, 0.5000, 0.5000], [0.0293, 0.7865, 0.5000], [0.2135, 0.0293, 0.5000], [0.2865, 0.5293, 0.5000], [0.4707, 0.2865, 0.5000], [0.5000, 0.0000, 0.5000], [0.5293, 0.7135, 0.5000], [0.7135, 0.4707, 0.5000], [0.7865, 0.9707, 0.5000], [0.9707, 0.2135, 0.5000]],
  "rho_kg_m3": 9565,
  "volume_a3_per_fu": 176.6,
  "spacegroup": "P4/mbm",
  "formation_enthalpy_0k_kj_per_mol_fu": -338,
  "total_magnetization_mub_per_fu": 0.00
}

(4)
{
  "formula": "PuCdInGe",
  "functional": "PBE",
  "state": "optimized geometry",
  "lattice": [[0.0000, 3.6052, 3.6052], [3.6052, 0.0000, 3.6052], [3.6052, 3.6052, 0.0000]],
  "species": ["Pu", "Cd", "In", "Ge"],
  "fractional_positions": [[0.0000, 0.0000, 0.0000], [0.5000, 0.5000, 0.5000], [0.7500, 0.7500, 0.7500], [0.2500, 0.2500, 0.2500]],
  "rho_kg_m3": 9637,
  "de_polymorph_ev_per_atom": 0.147,
  "volume_a3_per_fu": 93.7,
  "spacegroup": "F-43m",
  "formation_enthalpy_0k_kj_per_mol_fu": -28,
  "total_magnetization_mub_per_fu": 5.54
}